DFT (GGA+U) results for a geometry-optimized Cd3Co4PbO12 structure.

The calculation puts the total energy at -0.1847 Ha/atom.

The structure belongs to space group Im-3 (No. 204); the cell edges are 7.493, 7.493 and 7.493 Å and the angles 90.00°, 90.00° and 90.00°. Symmetry generates all atoms from Cd at (0.000, 0.000, 0.500), Co at (0.250, 0.250, 0.250), Pb at (0.000, 0.000, 0.000) and O at (0.000, 0.201, 0.286).